# 1
Compound: ZnTcNiO4
Source: the Alexandria database
Functional: PBEsol
Structure: optimized geometry

Values from the calculation:
E_form (uncorrected)   -803.2 kJ/mol of formula units
M_tot   0.14 μB/atom
Space-group type   Cm, No. 8

a = 5.9862 Å, b = 5.9862 Å, c = 5.9220 Å
α = 119.11°, β = 119.11°, γ = 55.33°
Positions (direct):
1 Zn 0.0000 0.0000 0.0000
2 Zn 0.6403 0.6403 0.8876
3 Tc 0.0492 0.4806 0.5107
4 Tc 0.4806 0.0492 0.5107
5 Ni 0.0100 0.0100 0.5161
6 Ni 0.4117 0.4117 0.1540
7 O 0.2302 0.7455 0.7300
8 O 0.2592 0.2592 0.7702
9 O 0.2610 0.2610 0.2434
10 O 0.2724 0.8127 0.3049
11 O 0.7455 0.2302 0.7300
12 O 0.7658 0.7658 0.7366
13 O 0.7668 0.7668 0.2884
14 O 0.8127 0.2724 0.3049

---

# 2
Compound: Zn2FeCo
Source: the Alexandria database
Functional: PBEsol
Structure: optimized geometry

Values from the calculation:
Formation energy   0.016 eV/atom
M_tot   0.84 μB/atom
Space-group type   I-4m2, No. 119

a = 3.7401 Å, b = 3.7401 Å, c = 6.7152 Å
α = 90.00°, β = 90.00°, γ = 90.00°
Positions (direct):
1 Zn 0.0000 0.0000 0.0000
2 Zn 0.0000 0.5000 0.2500
3 Zn 0.5000 0.0000 0.7500
4 Zn 0.5000 0.5000 0.5000
5 Fe 0.0000 0.5000 0.7500
6 Fe 0.5000 0.0000 0.2500
7 Co 0.0000 0.0000 0.5000
8 Co 0.5000 0.5000 0.0000

---

# 3
Compound: ReOsRh
Source: the Alexandria database
Functional: PBEsol
Structure: optimized geometry

Values from the calculation:
Formation energy   0.250 eV/atom
M_tot   0.00 μB/atom
Space-group type   P-6m2, No. 187

a = 4.2935 Å, b = 4.2935 Å, c = 2.7189 Å
α = 90.00°, β = 90.00°, γ = 120.00°
Positions (direct):
1 Re 0.0000 0.0000 0.0000
2 Os 0.6667 0.3333 0.0000
3 Rh 0.3333 0.6667 0.5000

---

# 4
Compound: SrAs2P
Source: the Alexandria database
Functional: PBEsol
Structure: optimized geometry

Values from the calculation:
Formation energy   -0.245 eV/atom
M_tot   0.00 μB/atom
Space-group type   P4mm, No. 99

a = 4.0210 Å, b = 4.0210 Å, c = 6.4477 Å
α = 90.00°, β = 90.00°, γ = 90.00°
Positions (direct):
1 Sr 0.0000 0.0000 0.0000
2 As 0.0000 0.0000 0.4957
3 As 0.5000 0.5000 0.5863
4 P 0.5000 0.5000 0.9347

---

# 5
Compound: CdAgNF2
Source: the Alexandria database
Functional: PBEsol
Structure: optimized geometry

Values from the calculation:
E_form (uncorrected)   -23.5 kJ/mol of formula units
M_tot   0.13 μB/atom
Space-group type   P4/mmm, No. 123

a = 4.2169 Å, b = 4.2169 Å, c = 4.0238 Å
α = 90.00°, β = 90.00°, γ = 90.00°
Positions (direct):
1 Cd 0.0000 0.0000 0.0000
2 Ag 0.5000 0.5000 0.5000
3 N 0.5000 0.5000 0.0000
4 F 0.0000 0.5000 0.5000
5 F 0.5000 0.0000 0.5000

---

# 6
Compound: CsCaPbCl2
Source: the Alexandria database
Functional: PBEsol
Structure: optimized geometry

Values from the calculation:
E_form (uncorrected)   -156.3 kJ/mol of formula units
M_tot   0.32 μB/atom
Space-group type   P4/mmm, No. 123

a = 5.9552 Å, b = 5.9552 Å, c = 6.3484 Å
α = 90.00°, β = 90.00°, γ = 90.00°
Positions (direct):
1 Cs 0.0000 0.0000 0.0000
2 Ca 0.5000 0.5000 0.5000
3 Pb 0.0000 0.0000 0.5000
4 Cl 0.0000 0.5000 0.0000
5 Cl 0.5000 0.0000 0.0000

---

# 7
Compound: Sr2CaAu
Source: the Alexandria database
Functional: PBEsol
Structure: optimized geometry

Values from the calculation:
Formation energy   -0.356 eV/atom
M_tot   0.00 μB/atom
Space-group type   P4/mmm, No. 123

a = 3.8328 Å, b = 3.8328 Å, c = 9.7226 Å
α = 90.00°, β = 90.00°, γ = 90.00°
Positions (direct):
1 Sr 0.0000 0.0000 0.1842
2 Sr 0.0000 0.0000 0.8158
3 Ca 0.5000 0.5000 0.5000
4 Au 0.5000 0.5000 0.0000

---

# 8
Compound: Ce2Ga7Pd
Source: the Alexandria database
Functional: PBEsol
Structure: optimized geometry

Values from the calculation:
Formation energy   -0.561 eV/atom
M_tot   0.07 μB/atom
Space-group type   P4mm, No. 99

a = 4.2842 Å, b = 4.2842 Å, c = 10.2928 Å
α = 90.00°, β = 90.00°, γ = 90.00°
Positions (direct):
1 Ce 0.0000 0.0000 0.0000
2 Ce 0.5000 0.5000 0.4933
3 Ga 0.0000 0.0000 0.3917
4 Ga 0.0000 0.0000 0.6243
5 Ga 0.0000 0.5000 0.2519
6 Ga 0.0000 0.5000 0.7566
7 Ga 0.5000 0.0000 0.2519
8 Ga 0.5000 0.0000 0.7566
9 Ga 0.5000 0.5000 0.9007
10 Pd 0.5000 0.5000 0.1341

---

# 9
Compound: ZnCu2Ni
Source: the Alexandria database
Functional: PBEsol
Structure: optimized geometry

Values from the calculation:
Formation energy   -0.041 eV/atom
M_tot   0.00 μB/atom
Space-group type   R3m, No. 160

a = 2.5439 Å, b = 2.5439 Å, c = 24.5276 Å
α = 90.00°, β = 90.00°, γ = 120.00°
Positions (direct):
1 Zn 0.0000 0.0000 0.0000
2 Zn 0.3333 0.6667 0.6667
3 Zn 0.6667 0.3333 0.3333
4 Cu 0.0000 0.0000 0.2468
5 Cu 0.0000 0.0000 0.4967
6 Cu 0.3333 0.6667 0.1634
7 Cu 0.3333 0.6667 0.9135
8 Cu 0.6667 0.3333 0.5801
9 Cu 0.6667 0.3333 0.8301
10 Ni 0.0000 0.0000 0.7485
11 Ni 0.3333 0.6667 0.4152
12 Ni 0.6667 0.3333 0.0819

---

# 10
Compound: CaRe2Rh
Source: the Alexandria database
Functional: PBEsol
Structure: optimized geometry

Values from the calculation:
Formation energy   0.716 eV/atom
M_tot   0.07 μB/atom
Space-group type   P4/mmm, No. 123

a = 3.2269 Å, b = 3.2269 Å, c = 6.9084 Å
α = 90.00°, β = 90.00°, γ = 90.00°
Positions (direct):
1 Ca 0.0000 0.0000 0.0000
2 Re 0.5000 0.5000 0.3203
3 Re 0.5000 0.5000 0.6797
4 Rh 0.0000 0.0000 0.5000

---

# 11
Compound: ZrH
Source: the Alexandria database
Functional: PBEsol
Structure: optimized geometry

Values from the calculation:
M_tot   0.00 μB/atom
Space-group type   P4_2/mmc, No. 131
Energy   -26.65 eV for the cell shown

a = 3.1697 Å, b = 3.1697 Å, c = 5.0006 Å
α = 90.00°, β = 90.00°, γ = 90.00°
Positions (direct):
1 Zr 0.0000 0.5000 0.0000
2 Zr 0.5000 0.0000 0.5000
3 H 0.0000 0.0000 0.2500
4 H 0.0000 0.0000 0.7500

---

# 12
Compound: LiAgRh2
Source: the Alexandria database
Functional: PBEsol
Structure: optimized geometry

Values from the calculation:
Formation energy   0.327 eV/atom
M_tot   0.01 μB/atom
Space-group type   Fm-3m, No. 225

a = 6.0628 Å, b = 6.0628 Å, c = 6.0628 Å
α = 90.00°, β = 90.00°, γ = 90.00°
Positions (direct):
1 Li 0.0000 0.0000 0.0000
2 Li 0.0000 0.5000 0.5000
3 Li 0.5000 0.0000 0.5000
4 Li 0.5000 0.5000 0.0000
5 Ag 0.0000 0.0000 0.5000
6 Ag 0.0000 0.5000 0.0000
7 Ag 0.5000 0.0000 0.0000
8 Ag 0.5000 0.5000 0.5000
9 Rh 0.2500 0.2500 0.2500
10 Rh 0.2500 0.2500 0.7500
11 Rh 0.2500 0.7500 0.2500
12 Rh 0.2500 0.7500 0.7500
13 Rh 0.7500 0.2500 0.2500
14 Rh 0.7500 0.2500 0.7500
15 Rh 0.7500 0.7500 0.2500
16 Rh 0.7500 0.7500 0.7500

---

# 13
Compound: HgSb2TeAu
Source: the Alexandria database
Functional: PBEsol
Structure: optimized geometry

Values from the calculation:
E_form (uncorrected)   278.5 kJ/mol of formula units
M_tot   0.00 μB/atom
Space-group type   P4/mmm, No. 123

a = 5.3378 Å, b = 5.3378 Å, c = 5.4264 Å
α = 90.00°, β = 90.00°, γ = 90.00°
Positions (direct):
1 Hg 0.0000 0.0000 0.0000
2 Sb 0.0000 0.5000 0.5000
3 Sb 0.5000 0.0000 0.5000
4 Te 0.5000 0.5000 0.0000
5 Au 0.5000 0.5000 0.5000